First-principles (PBE) data for La2Sm5Ho6 after structural relaxation, as listed in the Alexandria database.

Cell lengths 3.605, 11.782, 20.532 Å; angles 90.00, 90.00, 90.00 degrees
Element x y z (fractional)
1 Ho 0.000 0.439 0.575
2 Sm 0.500 0.410 0.717
3 Ho 0.000 0.926 0.638
4 Sm 0.500 0.590 0.283
5 La 0.000 0.671 0.722
6 Ho 0.000 0.939 0.925
7 Sm 0.500 0.299 0.446
8 Ho 0.500 0.683 0.876
9 Sm 0.500 0.090 0.217
10 Ho 0.500 0.317 0.124
11 Sm 0.500 0.500 0.000
12 Sm 0.500 0.799 0.054
13 Ho 0.000 0.061 0.075
14 Sm 0.500 0.701 0.554
15 Ho 0.000 0.561 0.425
16 Ho 0.500 0.817 0.376
17 Sm 0.500 0.910 0.783
18 Ho 0.000 0.074 0.362
19 La 0.000 0.171 0.778
20 Sm 0.500 0.000 0.500
21 Ho 0.000 0.426 0.862
22 Sm 0.500 0.201 0.946
23 La 0.000 0.329 0.278
24 Ho 0.500 0.183 0.624
25 Ho 0.000 0.574 0.138
26 La 0.000 0.829 0.222

Output
* crystal system: orthorhombic
* E_form: 9.3 kJ/mol of atoms

=====

First-principles (PBE) data for Sr3Pa3PtN8 after structural relaxation, as listed in the Alexandria database.

Cell lengths 7.043, 7.015, 7.224 Å; angles 119.35, 90.00, 120.14 degrees
Element x y z (fractional)
1 N 0.240 0.953 0.695
2 N 0.712 0.953 0.695
3 Sr 0.500 0.500 0.000
4 N 0.288 0.047 0.305
5 N 0.776 0.552 0.317
6 N 0.224 0.448 0.683
7 Pa 0.500 0.500 0.500
8 Pa 0.500 0.000 0.500
9 Pt 0.000 0.000 0.500
10 Sr 0.000 0.500 0.000
11 Pa 0.000 0.500 0.500
12 N 0.760 0.047 0.305
13 N 0.264 0.528 0.292
14 Sr 0.000 0.000 0.000
15 N 0.736 0.472 0.708

Output
* energy relative to the elements, uncorrected: -95 kJ/mol of atoms
* crystal system: monoclinic

=====

First-principles (PBE) data for AcLaPm2S4 after structural relaxation, as listed in the Alexandria database.

Cell lengths 4.105, 7.191, 7.163 Å; angles 70.79, 90.00, 90.00 degrees
Element x y z (fractional)
1 Ac 0.500 0.500 0.000
2 Pm 0.000 0.000 0.000
3 S 0.500 0.238 0.750
4 Pm 0.500 0.000 0.500
5 S 0.000 0.235 0.259
6 La 0.000 0.500 0.500
7 S 0.000 0.765 0.741
8 S 0.500 0.762 0.250

Output
* energy relative to the elements, uncorrected: -198 kJ/mol of atoms
* crystal system: monoclinic

=====

First-principles (PBE) data for Be2CoAg after structural relaxation, as listed in the Alexandria database.

Cell lengths 2.769, 2.769, 5.709 Å; angles 90.00, 90.00, 90.00 degrees
Element x y z (fractional)
1 Co 0.000 0.000 0.431
2 Be 0.500 0.500 0.255
3 Ag 0.500 0.500 0.769
4 Be 0.000 0.000 0.046

Output
* energy relative to the lowest polymorph listed for this composition: 216 meV per atom
* crystal system: tetragonal
* E_form: 9.1 kJ/mol of atoms

=====

First-principles (PBE) data for BaSrSeCl2 after structural relaxation, as listed in the Alexandria database.

Cell lengths 4.904, 4.904, 7.548 Å; angles 90.00, 90.00, 90.00 degrees
Element x y z (fractional)
1 Se 0.000 0.000 0.482
2 Sr 0.000 0.000 0.092
3 Ba 0.500 0.500 0.616
4 Cl 0.500 0.000 0.906
5 Cl 0.000 0.500 0.906

Output
* energy relative to the elements, uncorrected: -207 kJ/mol of atoms
* crystal system: tetragonal

=====

First-principles (PBE) data for TbGa2Pt3 after structural relaxation, as listed in the Alexandria database.

Cell lengths 3.998, 3.998, 8.492 Å; angles 103.62, 103.62, 90.00 degrees
Element x y z (fractional)
1 Ga 0.653 0.653 0.306
2 Pt 0.750 0.250 0.500
3 Ga 0.347 0.347 0.694
4 Pt 0.500 0.500 0.000
5 Tb 0.000 0.000 0.000
6 Pt 0.250 0.750 0.500

Output
* crystal system: tetragonal
* E_form: -70.0 kJ/mol of atoms

=====

First-principles (PBE) data for BeHgS2 after structural relaxation, as listed in the Alexandria database.

Cell lengths 6.261, 5.901, 7.543 Å; angles 55.99, 90.00, 57.96 degrees
Element x y z (fractional)
1 S 0.260 0.457 0.122
2 Be 0.277 0.093 0.127
3 Hg 0.766 0.126 0.826
4 S 0.915 0.147 0.136
5 S 0.644 0.542 0.391
6 Hg 0.090 0.478 0.432
7 Be 0.568 0.511 0.131
8 S 0.385 0.062 0.867

Output
* energy relative to the lowest polymorph listed for this composition: 59 meV per atom
* energy relative to the elements, uncorrected: -48 kJ/mol of atoms
* crystal system: monoclinic

=====

First-principles (PBE) data for LiH3Au after structural relaxation, as listed in the Alexandria database.

Cell lengths 3.666, 3.666, 3.666 Å; angles 90.00, 90.00, 90.00 degrees
Element x y z (fractional)
1 H 0.000 0.500 0.000
2 Li 0.500 0.500 0.500
3 H 0.500 0.000 0.000
4 Au 0.000 0.000 0.000
5 H 0.000 0.000 0.500

Output
* energy relative to the lowest polymorph listed for this composition: 0 meV per atom
* crystal system: cubic

=====

First-principles (PBE) data for Ac2Pm5YHo after structural relaxation, as listed in the Alexandria database.

Cell lengths 5.820, 10.741, 10.936 Å; angles 90.00, 90.00, 105.72 degrees
Element x y z (fractional)
1 Pm 0.483 0.966 0.743
2 Pm 0.613 0.226 0.521
3 Pm 0.705 0.410 0.202
4 Ac 0.887 0.775 0.234
5 Ho 0.205 0.410 0.010
6 Ac 0.117 0.233 0.317
7 Y 0.593 0.185 0.967
8 Pm 0.387 0.774 0.021
9 Pm 0.018 0.037 0.021
10 Pm 0.982 0.963 0.521
11 Y 0.407 0.815 0.467
12 Pm 0.281 0.562 0.309
13 Pm 0.295 0.590 0.702
14 Pm 0.517 0.034 0.243
15 Ho 0.795 0.590 0.510
16 Pm 0.719 0.438 0.809
17 Ac 0.113 0.225 0.734
18 Ac 0.883 0.767 0.817

Output
* crystal system: orthorhombic
* E_form: 13.6 kJ/mol of atoms

=====

First-principles (PBE) data for NiB after structural relaxation, as listed in the Alexandria database.

Cell lengths 4.473, 4.473, 4.473 Å; angles 90.00, 90.00, 90.00 degrees
Element x y z (fractional)
1 B 0.750 0.750 0.250
2 Ni 0.500 0.500 0.000
3 Ni 0.000 0.000 0.000
4 B 0.250 0.750 0.750
5 B 0.250 0.250 0.250
6 Ni 0.500 0.000 0.500
7 B 0.750 0.250 0.750
8 Ni 0.000 0.500 0.500

Output
* crystal system: cubic
* E_form: 56.3 kJ/mol of atoms

=====

First-principles (PBE) data for Ca2Cu after structural relaxation, as listed in the Alexandria database.

Cell lengths 7.114, 7.114, 6.701 Å; angles 90.00, 90.00, 120.00 degrees
Element x y z (fractional)
1 Cu 0.000 0.000 0.000
2 Cu 0.667 0.333 0.500
3 Ca 0.667 0.000 0.749
4 Cu 0.333 0.667 0.500
5 Ca 0.000 0.333 0.251
6 Ca 0.000 0.667 0.749
7 Ca 0.667 0.667 0.251
8 Ca 0.333 0.000 0.251
9 Ca 0.333 0.333 0.749

Output
* crystal system: trigonal
* E_form: -1.3 kJ/mol of atoms

=====

First-principles (PBE) data for BaTcRh after structural relaxation, as listed in the Alexandria database.

Cell lengths 5.579, 4.332, 7.312 Å; angles 72.75, 92.05, 112.85 degrees
Element x y z (fractional)
1 Ba 0.858 0.055 0.595
2 Tc 0.853 0.741 0.219
3 Tc 0.289 0.917 0.301
4 Ba 0.284 0.603 0.925
5 Rh 0.703 0.232 0.086
6 Rh 0.439 0.425 0.434

Output
* energy relative to the lowest polymorph listed for this composition: 126 meV per atom
* crystal system: monoclinic
* E_form: 17.8 kJ/mol of atoms

=====

First-principles (PBE) data for LaAs2Br8 after structural relaxation, as listed in the Alexandria database.

Cell lengths 7.675, 8.302, 8.302 Å; angles 72.73, 74.45, 74.45 degrees
Element x y z (fractional)
1 Br 0.307 0.785 0.785
2 Br 0.782 0.123 0.731
3 Br 0.191 0.332 0.332
4 As 0.601 0.840 0.840
5 As 0.399 0.160 0.160
6 Br 0.782 0.731 0.123
7 Br 0.218 0.877 0.269
8 La 0.000 0.000 0.000
9 Br 0.693 0.215 0.215
10 Br 0.218 0.269 0.877
11 Br 0.809 0.668 0.668

Output
* energy relative to the elements, uncorrected: -78 kJ/mol of atoms
* crystal system: monoclinic

=====

First-principles (PBE) data for LaPu2ThAs4 after structural relaxation, as listed in the Alexandria database.

Cell lengths 4.241, 7.300, 7.351 Å; angles 70.32, 90.00, 90.00 degrees
Element x y z (fractional)
1 As 0.500 0.241 0.750
2 Th 0.000 0.500 0.500
3 As 0.000 0.238 0.259
4 Pu 0.500 0.000 0.500
5 As 0.000 0.762 0.741
6 As 0.500 0.759 0.250
7 La 0.500 0.500 0.000
8 Pu 0.000 0.000 0.000

Output
* crystal system: monoclinic
* E_form: -120.3 kJ/mol of atoms

=====

First-principles (PBE) data for LaTmHg4 after structural relaxation, as listed in the Alexandria database.

Cell lengths 4.554, 4.567, 8.716 Å; angles 90.00, 90.00, 90.00 degrees
Element x y z (fractional)
1 La 0.502 0.496 0.998
2 Hg 0.001 0.498 0.730
3 Hg 0.001 0.498 0.266
4 Hg 0.501 0.997 0.731
5 Hg 0.501 0.997 0.266
6 Tm 0.001 0.998 0.498

Output
* energy relative to the lowest polymorph listed for this composition: 176 meV per atom
* crystal system: orthorhombic
* E_form: -18.7 kJ/mol of atoms

=====

First-principles (PBE) data for SnHg2B after structural relaxation, as listed in the Alexandria database.

Cell lengths 7.118, 7.118, 6.186 Å; angles 54.88, 54.88, 90.00 degrees
Element x y z (fractional)
1 B 0.250 0.750 0.500
2 Hg 0.526 0.125 0.250
3 Hg 0.224 0.625 0.250
4 Sn 0.000 0.000 0.000
5 Hg 0.875 0.776 0.750
6 B 0.500 0.500 0.000
7 Hg 0.375 0.474 0.750
8 Sn 0.750 0.250 0.500

Output
* energy relative to the lowest polymorph listed for this composition: 0 meV per atom
* crystal system: tetragonal
* E_form: 71.8 kJ/mol of atoms

=====

First-principles (PBE) data for Be2CuRu after structural relaxation, as listed in the Alexandria database.

Cell lengths 5.946, 5.946, 4.901 Å; angles 52.66, 52.66, 90.00 degrees
Element x y z (fractional)
1 Be 0.136 0.625 0.250
2 Ru 0.750 0.250 0.500
3 Be 0.614 0.125 0.250
4 Cu 0.500 0.500 0.000
5 Be 0.875 0.864 0.750
6 Ru 0.000 0.000 0.000
7 Be 0.375 0.386 0.750
8 Cu 0.250 0.750 0.500

Output
* energy relative to the lowest polymorph listed for this composition: 514 meV per atom
* crystal system: tetragonal
* E_form: 20.2 kJ/mol of atoms

=====

First-principles (PBE) data for YTlOs after structural relaxation, as listed in the Alexandria database.

Cell lengths 5.772, 5.772, 3.528 Å; angles 72.20, 72.20, 35.60 degrees
Element x y z (fractional)
1 Tl 0.350 0.350 0.650
2 Os 0.000 0.000 0.000
3 Y 0.650 0.650 0.350

Output
* energy relative to the lowest polymorph listed for this composition: 0 meV per atom
* crystal system: tetragonal
* E_form: 15.0 kJ/mol of atoms

=====

First-principles (PBE) data for TaBeTc after structural relaxation, as listed in the Alexandria database.

Cell lengths 4.699, 4.702, 4.702 Å; angles 140.06, 140.04, 57.79 degrees
Element x y z (fractional)
1 Ta 0.667 0.667 0.000
2 Tc 0.341 0.341 0.000
3 Be 0.991 0.991 0.000

Output
* energy relative to the lowest polymorph listed for this composition: 160 meV per atom
* crystal system: tetragonal
* E_form: -17.2 kJ/mol of atoms

=====

First-principles (PBE) data for CsZnSbH2 after structural relaxation, as listed in the Alexandria database.

Cell lengths 4.599, 4.537, 12.972 Å; angles 90.00, 93.94, 90.00 degrees
Element x y z (fractional)
1 Sb 0.020 0.000 0.081
2 Zn 0.077 0.000 0.479
3 H 0.650 0.000 0.105
4 H 0.234 0.500 0.871
5 Zn 0.077 0.500 0.979
6 Cs 0.562 0.500 0.279
7 Sb 0.020 0.500 0.581
8 H 0.234 0.000 0.371
9 Cs 0.562 0.000 0.779
10 H 0.650 0.500 0.605

Output
* energy relative to the lowest polymorph listed for this composition: 78 meV per atom
* crystal system: monoclinic

=====

Per-record VASP energy, eV per atom: -4.589, -8.065, -6.435, -4.258, -4.302, -5.527, -3.569, -3.109, -4.638, -5.646, -2.713, -6.362, -3.323, -8.698, -1.961, -2.076, -4.997, -6.532, -8.827, -2.707
Per-record magnetic moment, Bohr magnetons per cell: 0.0, 0.0, 0.0, 0.0, 0.0, 0.0, 0.0, 0.0, 0.0, 0.0, 0.0, 0.0, 1.0, 0.1, 0.0, 0.0, 0.0, 0.0, 0.0, 0.0